Crystalline CaHfCo4 at its relaxed geometry. Source: Alexandria via LeMat-Bulk, functional GGA-PBE.

## Properties
The value obtained for the volume is 14.4 Å³/atom. For the density, the calculation gives 8.7 g/cm3. As for the formation energy: -66 meV/atom.

abc: 4.9619 4.9619 4.9619
angles: 60.00 60.00 60.00
With the nearest neighbours (Å) after each atom.
Positions (direct):
Ca 0.0000 0.0000 0.0000  12 Co 2.91, 4 Hf 3.04
Hf 0.7500 0.7500 0.7500  12 Co 2.91, 4 Ca 3.04
Co 0.3759 0.3759 0.3759  6 Co 2.46-2.50
Co 0.3759 0.3759 0.8723  6 Co 2.46-2.50
Co 0.3759 0.8723 0.3759  6 Co 2.46-2.50
Co 0.8723 0.3759 0.3759  6 Co 2.46-2.50